No. 1
The following is a DFT calculation (GGA-PBE) of a geometry-optimized PrEuCuOs structure.

Output
formation enthalpy at 0 K	96.6	meV per atom
crystal system	cubic
magnetization	6.8	μB per formula unit

abc: 5.0190 5.0190 5.0190
angles: 60.00 60.00 60.00
Positions (direct):
Eu 0.0000 0.0000 0.0000
Pr 0.5000 0.5000 0.5000
Os 0.2500 0.2500 0.2500
Cu 0.7500 0.7500 0.7500

No. 2
The following is a DFT calculation (GGA-PBE) of a geometry-optimized LaMgP2S structure.

Output
crystal system	tetragonal
magnetization	0.7	μB per formula unit
energy above the lowest structure with this stoichiometry	773.7	meV/atom

abc: 5.4714 5.4714 5.4085
angles: 90.00 90.00 90.00
Positions (direct):
P 0.0000 0.5000 0.0000
P 0.5000 0.0000 0.0000
S 0.0000 0.0000 0.5000
Mg 0.5000 0.5000 0.5000
La 0.0000 0.0000 0.0000

Number 1: mass density 10.2 g cm⁻³. Number 2: mass density 2.6 g cm⁻³.